First-principles (GGA-PBE) data for a relaxed structure of NiRuRh3, as listed in the Alexandria database.

The calculation puts the calculated formation energy at 1.6087 eV per atom. For the offset from the most stable computed form, the calculation gives 721 kJ/mol of formula units.

It has space group Pm-3m (No. 221), with a = 4.632 Å, b = 4.632 Å, c = 4.632 Å, α = 90.00°, β = 90.00° and γ = 90.00°. The distinct sites, in fractional coordinates, are Ni at (0.000, 0.000, 0.000), Ru at (0.500, 0.500, 0.500) and Rh at (0.000, 0.500, 0.500).


First-principles (GGA-PBE) data for a relaxed structure of BeSeO2F, as listed in the Alexandria database.

The calculation puts the formation energy (no corrections) at -0.012 eV per atom.

It has space group P4/mmm (No. 123), with a = 3.894 Å, b = 3.894 Å, c = 4.317 Å, α = 90.00°, β = 90.00° and γ = 90.00°. The distinct sites, in fractional coordinates, are Be at (0.000, 0.000, 0.000), Se at (0.500, 0.500, 0.500), O at (0.000, 0.500, 0.500) and F at (0.500, 0.500, 0.000).


First-principles (GGA-PBE) data for a relaxed structure of NbRe3Si, as listed in the Alexandria database.

The calculation puts the formation energy (no corrections) at 2.566 eV per atom. For the offset from the most stable computed form, the calculation gives 821 kJ/mol of formula units.

It has space group Pm-3m (No. 221), with a = 4.774 Å, b = 4.774 Å, c = 4.774 Å, α = 90.00°, β = 90.00° and γ = 90.00°. The distinct sites, in fractional coordinates, are Nb at (0.000, 0.000, 0.000), Re at (0.000, 0.000, 0.500) and Si at (0.500, 0.500, 0.500).


First-principles (GGA-PBE) data for a relaxed structure of ZrB2Cl, as listed in the Alexandria database.

The calculation puts the formation energy (no corrections) at 1.337 eV per atom. For the offset from the most stable computed form, the calculation gives 100 kJ/mol of formula units.

It has space group Fm-3m (No. 225), with a = 6.110 Å, b = 6.110 Å, c = 6.110 Å, α = 90.00°, β = 90.00° and γ = 90.00°. The distinct sites, in fractional coordinates, are Zr at (0.000, 0.000, 0.000), B at (0.250, 0.250, 0.250) and Cl at (0.000, 0.000, 0.500).


First-principles (GGA-PBE) data for a relaxed structure of PmNpPb2O8, as listed in the Alexandria database.

The calculation puts the formation energy (no corrections) at -2.039 eV per atom.

It has space group Cmmm (No. 65), with a = 7.365 Å, b = 7.414 Å, c = 7.071 Å, α = 90.00°, β = 90.00° and γ = 90.00°. The distinct sites, in fractional coordinates, are Pm at (0.000, 0.000, 0.000), Np at (0.000, 0.000, 0.500), Pb at (0.000, 0.500, 0.250), O at (0.000, 0.179, 0.282), O at (0.186, 0.500, 0.000) and O at (0.212, 0.500, 0.500).


First-principles (GGA-PBE) data for a relaxed structure of Ac3Tb4Sm2, as listed in the Alexandria database.

The calculation puts the calculated formation energy at 0.1117 eV per atom.

It has space group C2/m (No. 12), with a = 12.285 Å, b = 5.856 Å, c = 9.549 Å, α = 90.00°, β = 104.96° and γ = 90.00°. The distinct sites, in fractional coordinates, are Ac at (0.000, 0.000, 0.000), Ac at (0.117, 0.000, 0.683), Tb at (0.180, 0.500, 0.955), Tb at (0.230, 0.000, 0.373) and Sm at (0.071, 0.500, 0.290).


First-principles (GGA-PBE) data for a relaxed structure of CaCd4Ag8, as listed in the Alexandria database.

The calculation puts the calculated formation energy at -0.0808 eV per atom.

It has space group I4/mmm (No. 139), with a = 9.688 Å, b = 9.688 Å, c = 5.714 Å, α = 90.00°, β = 90.00° and γ = 90.00°. The distinct sites, in fractional coordinates, are Ca at (0.000, 0.000, 0.000), Cd at (0.250, 0.250, 0.250), Ag at (0.000, 0.214, 0.500) and Ag at (0.000, 0.352, 0.000).


First-principles (GGA-PBE) data for a relaxed structure of Sc3Tl5, as listed in the Alexandria database.

The calculation puts the calculated formation energy at -0.0870 eV per atom. For the offset from the most stable computed form, the calculation gives 57 kJ/mol of formula units.

It has space group P6_3/mcm (No. 193), with a = 8.6906 Å, b = 8.6906 Å, c = 6.2701 Å, α = 90.00°, β = 90.00° and γ = 120.00°. The distinct sites, in fractional coordinates, are Sc at (0.0000, 0.4083, 0.2500), Tl at (0.0000, 0.2247, 0.7500) and Tl at (0.3333, 0.6667, 0.0000).